No. 1
Entry from Alexandria: crystalline Pu2ScRh4 at its relaxed geometry (PBE).

## Properties
**Magnetic moment**: 9.373 μB/cell
**Crystal system**: triclinic
**DFT formation energy**: -0.493 eV/atom

Cell: 3.727 5.150 7.444 Å, 85.38 89.93 68.84°
Space group P-1 (No. 2)
Symmetry-distinct sites (fractional):
1 Pu 0.142 0.215 0.172
2 Sc 0.500 0.500 0.500
3 Rh 0.199 0.102 0.621
4 Rh 0.421 0.658 0.142

No. 2
Entry from Alexandria: crystalline PuSc5Rh4 at its relaxed geometry (PBE).

## Properties
**Magnetic moment**: 5.972 μB/cell
**Crystal system**: tetragonal
**DFT formation energy**: -0.793 eV/atom

Cell: 3.221 3.221 17.808 Å, 90.00 90.00 90.00°
Space group P4/mmm (No. 123)
Symmetry-distinct sites (fractional):
1 Pu 0.000 0.000 0.000
2 Sc 0.500 0.500 0.137
3 Sc 0.500 0.500 0.318
4 Sc 0.500 0.500 0.500
5 Rh 0.000 0.000 0.226
6 Rh 0.000 0.000 0.409

No. 3
Entry from Alexandria: crystalline PuScRh2 at its relaxed geometry (PBE).

## Properties
**Magnetic moment**: 5.264 μB/cell
**Crystal system**: tetragonal
**DFT formation energy**: -0.687 eV/atom

Cell: 3.222 3.222 7.092 Å, 90.00 90.00 90.00°
Space group P4/mmm (No. 123)
Symmetry-distinct sites (fractional):
1 Pu 0.000 0.000 0.000
2 Sc 0.000 0.000 0.500
3 Rh 0.500 0.500 0.275